1.
This record from Alexandria via LeMat-Bulk describes NdSc4S5 after structural relaxation. The functional is PBE.

Total moment ... 0.00 μB/f.u.
Energy relative to the elements, uncorrected ... -1.855 eV/atom
Symmetry ... No. 71

Cell: 10.031 10.031 10.031 Å, 158.51 148.87 38.14°
Element x y z (fractional)
Nd 0.000 0.000 0.000
Sc 0.205 0.205 0.000
Sc 0.400 0.400 0.000
Sc 0.600 0.600 0.000
Sc 0.795 0.795 0.000
S 0.112 0.612 0.500
S 0.302 0.802 0.500
S 0.500 0.000 0.500
S 0.698 0.198 0.500
S 0.888 0.388 0.500

***

2.
This record from Alexandria via LeMat-Bulk describes NdScS3 after structural relaxation. The functional is PBE.

Total moment ... 0.00 μB/f.u.
Energy relative to the elements, uncorrected ... -1.939 eV/atom
Symmetry ... No. 12

Cell: 7.377 7.377 8.373 Å, 91.06 91.06 30.10°
Element x y z (fractional)
Nd 0.113 0.113 0.093
Nd 0.887 0.887 0.907
Sc 0.322 0.322 0.363
Sc 0.678 0.678 0.637
S 0.143 0.143 0.447
S 0.245 0.245 0.833
S 0.459 0.459 0.167
S 0.541 0.541 0.833
S 0.755 0.755 0.167
S 0.857 0.857 0.553

***

3.
This record from Alexandria via LeMat-Bulk describes Nd2ScSe2S2 after structural relaxation. The functional is PBE.

Total moment ... 0.00 μB/f.u.
Energy relative to the elements, uncorrected ... -1.734 eV/atom
Symmetry ... No. 139

Cell: 8.263 8.263 8.263 Å, 146.27 146.27 48.45°
Element x y z (fractional)
Nd 0.128 0.128 0.000
Nd 0.872 0.872 0.000
Sc 0.500 0.500 0.000
Se 0.320 0.320 0.000
Se 0.680 0.680 0.000
S 0.000 0.500 0.500
S 0.500 0.000 0.500

***

4.
This record from Alexandria via LeMat-Bulk describes NdScSeS after structural relaxation. The functional is PBE.

Total moment ... 0.00 μB/f.u.
Energy relative to the elements, uncorrected ... -1.784 eV/atom
Symmetry ... No. 160

Cell: 7.308 7.308 7.308 Å, 30.52 30.52 30.52°
Element x y z (fractional)
Nd 0.000 0.000 0.000
Sc 0.184 0.184 0.184
Se 0.432 0.432 0.432
S 0.584 0.584 0.584

***

5.
This record from Alexandria via LeMat-Bulk describes Nd4Sm3ScS8 after structural relaxation. The functional is PBE.

Total moment ... 0.00 μB/f.u.
Energy relative to the elements, uncorrected ... -1.984 eV/atom
Symmetry ... No. 166

Cell: 8.033 8.033 8.033 Å, 59.67 59.67 59.67°
Element x y z (fractional)
Nd 0.000 0.000 0.000
Nd 0.000 0.500 0.500
Nd 0.500 0.000 0.500
Nd 0.500 0.500 0.000
Sm 0.000 0.000 0.500
Sm 0.000 0.500 0.000
Sm 0.500 0.000 0.000
Sc 0.500 0.500 0.500
S 0.248 0.248 0.248
S 0.258 0.739 0.739
S 0.261 0.261 0.742
S 0.261 0.742 0.261
S 0.739 0.258 0.739
S 0.739 0.739 0.258
S 0.742 0.261 0.261
S 0.752 0.752 0.752

***

6.
This record from Alexandria via LeMat-Bulk describes Nd2Sm3ScS6 after structural relaxation. The functional is PBE.

Total moment ... 0.00 μB/f.u.
Energy relative to the elements, uncorrected ... -1.973 eV/atom
Symmetry ... No. 12

Cell: 8.881 8.881 8.011 Å, 102.79 102.79 25.84°
Element x y z (fractional)
Nd 0.166 0.166 0.334
Nd 0.834 0.834 0.666
Sm 0.170 0.170 0.835
Sm 0.500 0.500 0.500
Sm 0.830 0.830 0.165
Sc 0.500 0.500 0.000
S 0.003 0.003 0.768
S 0.335 0.335 0.413
S 0.341 0.341 0.924
S 0.659 0.659 0.076
S 0.665 0.665 0.587
S 0.997 0.997 0.232

***

7.
This record from Alexandria via LeMat-Bulk describes Nd2SmScS6 after structural relaxation. The functional is PBE.

Total moment ... 0.00 μB/f.u.
Energy relative to the elements, uncorrected ... -1.969 eV/atom
Symmetry ... No. 146

Cell: 7.344 7.344 7.344 Å, 56.96 56.96 56.96°
Element x y z (fractional)
Nd 0.000 0.000 0.000
Nd 0.497 0.497 0.497
Sm 0.207 0.207 0.207
Sc 0.702 0.702 0.702
S 0.069 0.431 0.819
S 0.332 0.906 0.593
S 0.431 0.819 0.069
S 0.593 0.332 0.906
S 0.819 0.069 0.431
S 0.906 0.593 0.332

***

8.
This record from Alexandria via LeMat-Bulk describes Nd3Sm4ScS8 after structural relaxation. The functional is PBE.

Total moment ... 0.00 μB/f.u.
Energy relative to the elements, uncorrected ... -1.978 eV/atom
Symmetry ... No. 166

Cell: 7.993 7.993 7.993 Å, 60.14 60.14 60.14°
Element x y z (fractional)
Nd 0.000 0.500 0.500
Nd 0.500 0.000 0.500
Nd 0.500 0.500 0.000
Sm 0.000 0.000 0.500
Sm 0.000 0.500 0.000
Sm 0.500 0.000 0.000
Sm 0.500 0.500 0.500
Sc 0.000 0.000 0.000
S 0.237 0.759 0.759
S 0.241 0.241 0.763
S 0.241 0.763 0.241
S 0.248 0.248 0.248
S 0.752 0.752 0.752
S 0.759 0.237 0.759
S 0.759 0.759 0.237
S 0.763 0.241 0.241

***

9.
This record from Alexandria via LeMat-Bulk describes Sr3Nd3ScS8 after structural relaxation. The functional is PBE.

Total moment ... 0.00 μB/f.u.
Energy relative to the elements, uncorrected ... -2.047 eV/atom
Symmetry ... No. 166

Cell: 8.359 8.359 8.359 Å, 58.26 58.26 58.26°
Element x y z (fractional)
Sr 0.000 0.500 0.500
Sr 0.500 0.000 0.500
Sr 0.500 0.500 0.000
Nd 0.000 0.000 0.500
Nd 0.000 0.500 0.000
Nd 0.500 0.000 0.000
Sc 0.500 0.500 0.500
S 0.247 0.247 0.247
S 0.262 0.729 0.729
S 0.271 0.271 0.738
S 0.271 0.738 0.271
S 0.729 0.262 0.729
S 0.729 0.729 0.262
S 0.738 0.271 0.271
S 0.753 0.753 0.753

***

10.
This record from Alexandria via LeMat-Bulk describes Tb3Nd2ScS6 after structural relaxation. The functional is PBE.

Total moment ... 0.00 μB/f.u.
Energy relative to the elements, uncorrected ... -1.969 eV/atom
Symmetry ... No. 12

Cell: 8.793 8.793 7.931 Å, 102.86 102.86 25.83°
Element x y z (fractional)
Tb 0.000 0.000 0.000
Tb 0.330 0.330 0.665
Tb 0.670 0.670 0.335
Nd 0.333 0.333 0.166
Nd 0.667 0.667 0.834
Sc 0.000 0.000 0.500
S 0.161 0.161 0.572
S 0.163 0.163 0.091
S 0.496 0.496 0.736
S 0.504 0.504 0.264
S 0.837 0.837 0.909
S 0.839 0.839 0.428

***

11.
This record from Alexandria via LeMat-Bulk describes Tb3Nd4ScS8 after structural relaxation. The functional is PBE.

Total moment ... 0.00 μB/f.u.
Energy relative to the elements, uncorrected ... -1.988 eV/atom
Symmetry ... No. 166

Cell: 8.014 8.014 8.014 Å, 58.91 58.91 58.91°
Element x y z (fractional)
Tb 0.000 0.500 0.500
Tb 0.500 0.000 0.500
Tb 0.500 0.500 0.000
Nd 0.000 0.000 0.500
Nd 0.000 0.500 0.000
Nd 0.500 0.000 0.000
Nd 0.500 0.500 0.500
Sc 0.000 0.000 0.000
S 0.239 0.239 0.752
S 0.239 0.752 0.239
S 0.248 0.761 0.761
S 0.255 0.255 0.255
S 0.745 0.745 0.745
S 0.752 0.239 0.239
S 0.761 0.248 0.761
S 0.761 0.761 0.248

***

12.
This record from Alexandria via LeMat-Bulk describes Tb2NdScS4 after structural relaxation. The functional is PBE.

Total moment ... 0.00 μB/f.u.
Energy relative to the elements, uncorrected ... -1.943 eV/atom
Symmetry ... No. 10

Cell: 6.752 3.877 6.858 Å, 90.00 109.00 90.00°
Element x y z (fractional)
Tb 0.000 0.000 0.000
Tb 0.000 0.500 0.500
Nd 0.500 0.000 0.500
Sc 0.500 0.500 0.000
S 0.247 0.500 0.236
S 0.258 0.000 0.766
S 0.742 0.000 0.234
S 0.753 0.500 0.764

***

13.
This record from Alexandria via LeMat-Bulk describes TbNdSc2S4 after structural relaxation. The functional is PBE.

Total moment ... 0.00 μB/f.u.
Energy relative to the elements, uncorrected ... -1.922 eV/atom
Symmetry ... No. 10

Cell: 6.631 3.798 6.761 Å, 90.00 108.87 90.00°
Element x y z (fractional)
Tb 0.000 0.000 0.000
Nd 0.500 0.500 0.000
Sc 0.000 0.500 0.500
Sc 0.500 0.000 0.500
S 0.235 0.000 0.723
S 0.252 0.500 0.273
S 0.748 0.500 0.727
S 0.765 0.000 0.277

***

14.
This record from Alexandria via LeMat-Bulk describes TbNd3Sc2S6 after structural relaxation. The functional is PBE.

Total moment ... 0.00 μB/f.u.
Energy relative to the elements, uncorrected ... -1.955 eV/atom
Symmetry ... No. 12

Cell: 6.737 6.737 6.906 Å, 99.37 99.37 120.15°
Element x y z (fractional)
Tb 0.000 0.000 0.000
Nd 0.163 0.837 0.500
Nd 0.500 0.500 0.500
Nd 0.837 0.163 0.500
Sc 0.334 0.666 0.000
Sc 0.666 0.334 0.000
S 0.075 0.419 0.226
S 0.270 0.270 0.778
S 0.419 0.075 0.226
S 0.581 0.925 0.774
S 0.730 0.730 0.222
S 0.925 0.581 0.774

***

15.
This record from Alexandria via LeMat-Bulk describes Tb3Nd3ScS8 after structural relaxation. The functional is PBE.

Total moment ... 0.00 μB/f.u.
Energy relative to the elements, uncorrected ... -2.036 eV/atom
Symmetry ... No. 166

Cell: 7.978 7.978 7.978 Å, 59.36 59.36 59.36°
Element x y z (fractional)
Tb 0.000 0.500 0.500
Tb 0.500 0.000 0.500
Tb 0.500 0.500 0.000
Nd 0.000 0.000 0.500
Nd 0.000 0.500 0.000
Nd 0.500 0.000 0.000
Sc 0.000 0.000 0.000
S 0.238 0.238 0.754
S 0.238 0.754 0.238
S 0.246 0.762 0.762
S 0.254 0.254 0.254
S 0.746 0.746 0.746
S 0.754 0.238 0.238
S 0.762 0.246 0.762
S 0.762 0.762 0.246

***

16.
This record from Alexandria via LeMat-Bulk describes NdThSc2S4 after structural relaxation. The functional is PBE.

Total moment ... 0.00 μB/f.u.
Energy relative to the elements, uncorrected ... -1.871 eV/atom
Symmetry ... No. 10

Cell: 6.637 3.815 6.868 Å, 90.00 108.70 90.00°
Element x y z (fractional)
Nd 0.000 0.000 0.000
Th 0.500 0.500 0.000
Sc 0.000 0.500 0.500
Sc 0.500 0.000 0.500
S 0.240 0.000 0.719
S 0.262 0.500 0.281
S 0.738 0.500 0.719
S 0.760 0.000 0.281

***

17.
This record from Alexandria via LeMat-Bulk describes Nd2ThScS4 after structural relaxation. The functional is PBE.

Total moment ... 0.00 μB/f.u.
Energy relative to the elements, uncorrected ... -1.901 eV/atom
Symmetry ... No. 10

Cell: 6.895 3.947 6.933 Å, 90.00 109.00 90.00°
Element x y z (fractional)
Nd 0.000 0.000 0.000
Nd 0.000 0.500 0.500
Th 0.500 0.000 0.500
Sc 0.500 0.500 0.000
S 0.261 0.500 0.239
S 0.272 0.000 0.770
S 0.728 0.000 0.230
S 0.739 0.500 0.761

***

18.
This record from Alexandria via LeMat-Bulk describes Nd3ScTl3S8 after structural relaxation. The functional is PBE.

Total moment ... 0.00 μB/f.u.
Energy relative to the elements, uncorrected ... -1.423 eV/atom
Symmetry ... No. 166

Cell: 8.719 8.719 8.719 Å, 56.01 56.01 56.01°
Element x y z (fractional)
Nd 0.000 0.500 0.500
Nd 0.500 0.000 0.500
Nd 0.500 0.500 0.000
Sc 0.000 0.000 0.000
Tl 0.000 0.000 0.500
Tl 0.000 0.500 0.000
Tl 0.500 0.000 0.000
S 0.221 0.221 0.756
S 0.221 0.756 0.221
S 0.244 0.779 0.779
S 0.263 0.263 0.263
S 0.737 0.737 0.737
S 0.756 0.221 0.221
S 0.779 0.244 0.779
S 0.779 0.779 0.244

***

19.
This record from Alexandria via LeMat-Bulk describes NdTm2ScS4 after structural relaxation. The functional is PBE.

Total moment ... 0.00 μB/f.u.
Energy relative to the elements, uncorrected ... -1.909 eV/atom
Symmetry ... No. 10

Cell: 6.702 3.830 6.772 Å, 90.00 108.90 90.00°
Element x y z (fractional)
Nd 0.000 0.000 0.000
Tm 0.500 0.000 0.500
Tm 0.500 0.500 0.000
Sc 0.000 0.500 0.500
S 0.251 0.000 0.738
S 0.261 0.500 0.266
S 0.739 0.500 0.734
S 0.749 0.000 0.262

***

20.
This record from Alexandria via LeMat-Bulk describes NdY2ScS4 after structural relaxation. The functional is PBE.

Total moment ... 0.00 μB/f.u.
Energy relative to the elements, uncorrected ... -1.938 eV/atom
Symmetry ... No. 10

Cell: 6.748 3.874 6.846 Å, 90.00 109.02 90.00°
Element x y z (fractional)
Nd 0.000 0.000 0.000
Y 0.500 0.000 0.500
Y 0.500 0.500 0.000
Sc 0.000 0.500 0.500
S 0.243 0.000 0.734
S 0.254 0.500 0.265
S 0.746 0.500 0.735
S 0.757 0.000 0.266